Density functional theory data (PBE) for Ba12Bi3F5 after structural relaxation.

E_form (uncorrected) = -158.3 kJ/mol of atoms
Symmetry = Ia-3d, No. 230
M_tot = 7.870 μB/f.u.
Total energy = -3.8438 eV/atom

Unit cell a=16.032 b=16.032 c=16.032 alpha=109.47 beta=109.47 gamma=109.47
Each line ends with the local moment (μB).
Sites, in units of the cell vectors:
Bi: 0.750 0.375 0.125  0.02
Bi: 0.875 0.750 0.125  0.02
Bi: 0.375 0.750 0.625  0.02
Bi: 0.250 0.125 0.375  0.02
Bi: 0.875 0.125 0.250  0.02
Bi: 0.375 0.625 0.250  0.02
Bi: 0.625 0.375 0.750  0.02
Bi: 0.125 0.875 0.750  0.02
Bi: 0.750 0.875 0.625  0.02
Bi: 0.625 0.250 0.375  0.02
Bi: 0.125 0.250 0.875  0.02
Bi: 0.250 0.625 0.875  0.02
F: 0.125 0.375 0.250  0.02
F: 0.000 0.500 0.000  0.01
F: 0.000 0.000 0.000  0.01
F: 0.375 0.250 0.125  0.02
F: 0.500 0.000 0.500  0.01
F: 0.500 0.500 0.000  0.01
F: 0.125 0.750 0.375  0.02
F: 0.750 0.125 0.875  0.02
F: 0.750 0.625 0.375  0.02
F: 0.375 0.125 0.750  0.02
F: 0.625 0.875 0.250  0.02
F: 0.500 0.500 0.500  0.01
F: 0.500 0.000 0.000  0.01
F: 0.000 0.000 0.500  0.01
F: 0.250 0.375 0.625  0.02
F: 0.250 0.875 0.125  0.02
F: 0.000 0.500 0.500  0.01
F: 0.875 0.250 0.625  0.02
F: 0.625 0.750 0.875  0.02
F: 0.875 0.625 0.750  0.02
Ba: 0.708 0.117 0.019  0.16
Ba: 0.311 0.519 0.403  0.16
Ba: 0.981 0.383 0.292  0.16
Ba: 0.519 0.208 0.117  0.16
Ba: 0.591 0.708 0.689  0.16
Ba: 0.981 0.597 0.189  0.16
Ba: 0.311 0.792 0.409  0.16
Ba: 0.097 0.909 0.117  0.16
Ba: 0.597 0.981 0.689  0.16
Ba: 0.708 0.591 0.189  0.16
Ba: 0.792 0.481 0.383  0.16
Ba: 0.811 0.903 0.019  0.16
Ba: 0.117 0.708 0.519  0.16
Ba: 0.383 0.403 0.091  0.16
Ba: 0.091 0.903 0.383  0.16
Ba: 0.409 0.117 0.597  0.16
Ba: 0.091 0.189 0.208  0.16
Ba: 0.481 0.689 0.097  0.16
Ba: 0.811 0.909 0.292  0.16
Ba: 0.117 0.409 0.097  0.16
Ba: 0.383 0.981 0.792  0.16
Ba: 0.597 0.617 0.409  0.16
Ba: 0.903 0.811 0.519  0.16
Ba: 0.792 0.311 0.909  0.16
Ba: 0.403 0.383 0.591  0.16
Ba: 0.097 0.189 0.481  0.16
Ba: 0.208 0.689 0.091  0.16
Ba: 0.189 0.091 0.708  0.16
Ba: 0.617 0.019 0.208  0.16
Ba: 0.883 0.591 0.903  0.16
Ba: 0.519 0.311 0.903  0.16
Ba: 0.591 0.883 0.403  0.16
Ba: 0.909 0.811 0.792  0.16
Ba: 0.909 0.097 0.617  0.16
Ba: 0.883 0.292 0.481  0.16
Ba: 0.189 0.097 0.981  0.16
Ba: 0.617 0.597 0.909  0.16
Ba: 0.403 0.019 0.311  0.16
Ba: 0.292 0.409 0.811  0.16
Ba: 0.208 0.519 0.617  0.16
Ba: 0.903 0.091 0.883  0.16
Ba: 0.689 0.208 0.591  0.16
Ba: 0.481 0.792 0.883  0.16
Ba: 0.019 0.403 0.811  0.16
Ba: 0.409 0.292 0.311  0.16
Ba: 0.019 0.617 0.708  0.16
Ba: 0.689 0.481 0.597  0.16
Ba: 0.292 0.883 0.981  0.16

---

Density functional theory data (PBE) for Ba2BiF2 after structural relaxation.

E_form (uncorrected) = -241.0 kJ/mol of atoms
Symmetry = P4/mmm, No. 123
M_tot = 0.000 μB/f.u.
Total energy = -4.7917 eV/atom

Unit cell a=4.178 b=4.178 c=8.225 alpha=90.00 beta=90.00 gamma=90.00
Sites, in units of the cell vectors:
Ba: 0.500 0.500 0.713
Ba: 0.500 0.500 0.287
Bi: 0.000 0.000 0.000
F: 0.500 0.000 0.500
F: 0.000 0.500 0.500

---

Density functional theory data (PBE) for BaBi2F after structural relaxation.

E_form (uncorrected) = -83.5 kJ/mol of atoms
Energy above the lowest structure with this stoichiometry = 0 meV per atom
Symmetry = I-42d, No. 122
M_tot = 0.000 μB/f.u.
Total energy = -3.7547 eV/atom

Unit cell a=6.092 b=6.092 c=9.143 alpha=70.54 beta=70.54 gamma=90.00
Sites, in units of the cell vectors:
F: 0.500 0.500 0.000
F: 0.250 0.750 0.500
Bi: 0.432 0.125 0.250
Bi: 0.318 0.625 0.250
Bi: 0.375 0.568 0.750
Bi: 0.875 0.682 0.750
Ba: 0.000 0.000 0.000
Ba: 0.750 0.250 0.500

---

Density functional theory data (PBE) for Ba2BiF8 after structural relaxation.

E_form (uncorrected) = -294.6 kJ/mol of atoms
Symmetry = Imm2, No. 44
M_tot = 0.979 μB/f.u.
Total energy = -5.1167 eV/atom

Unit cell a=4.584 b=5.632 c=7.864 alpha=110.98 beta=106.94 gamma=90.00
Each line ends with the local moment (μB).
Sites, in units of the cell vectors:
F: 0.611 0.871 0.234  0.13
F: 0.377 0.637 0.766  0.13
F: 0.203 0.216 0.432  0.04
F: 0.977 0.237 0.000  0.07
F: 0.772 0.784 0.568  0.04
F: 0.611 0.363 0.234  0.13
F: 0.377 0.129 0.766  0.13
F: 0.977 0.763 0.000  0.07
Ba: 0.174 0.677 0.354  0.00
Ba: 0.820 0.323 0.646  0.00
Bi: 0.600 0.000 0.000  0.17

---

Density functional theory data (PBE) for Ba5Bi3F after structural relaxation.

E_form (uncorrected) = -138.5 kJ/mol of atoms
Symmetry = I4/mcm, No. 140
M_tot = 0.000 μB/f.u.
Total energy = -4.0056 eV/atom

Unit cell a=9.648 b=9.648 c=10.455 alpha=117.48 beta=117.48 gamma=90.00
Sites, in units of the cell vectors:
Ba: 0.500 0.500 0.000
Ba: 0.000 0.000 0.000
Ba: 0.206 0.009 0.715
Ba: 0.509 0.706 0.715
Ba: 0.706 0.206 0.715
Ba: 0.009 0.509 0.715
Ba: 0.794 0.991 0.285
Ba: 0.491 0.294 0.285
Ba: 0.294 0.794 0.285
Ba: 0.991 0.491 0.285
Bi: 0.250 0.250 0.500
Bi: 0.750 0.750 0.500
Bi: 0.151 0.349 0.000
Bi: 0.849 0.651 0.000
Bi: 0.651 0.151 0.000
Bi: 0.349 0.849 0.000
F: 0.250 0.750 0.500
F: 0.750 0.250 0.500

---

Density functional theory data (PBE) for BaBi2F11 after structural relaxation.

E_form (uncorrected) = -228.4 kJ/mol of atoms
Symmetry = Ibam, No. 72
M_tot = 0.000 μB/f.u.
Total energy = -4.5295 eV/atom

Unit cell a=8.265 b=9.126 c=9.126 alpha=71.72 beta=63.08 gamma=63.08
Sites, in units of the cell vectors:
Ba: 0.750 0.750 0.750
Ba: 0.250 0.250 0.250
Bi: 0.636 0.680 0.320
Bi: 0.364 0.320 0.680
Bi: 0.864 0.180 0.820
Bi: 0.136 0.820 0.180
F: 0.635 0.696 0.546
F: 0.365 0.304 0.454
F: 0.123 0.546 0.696
F: 0.865 0.954 0.804
F: 0.877 0.454 0.304
F: 0.135 0.046 0.196
F: 0.377 0.804 0.954
F: 0.623 0.196 0.046
F: 0.500 0.500 0.500
F: 0.000 0.000 0.000
F: 0.866 0.783 0.217
F: 0.134 0.217 0.783
F: 0.634 0.283 0.717
F: 0.366 0.717 0.283
F: 0.471 0.935 0.322
F: 0.529 0.065 0.678
F: 0.271 0.322 0.935
F: 0.029 0.178 0.565
F: 0.729 0.678 0.065
F: 0.971 0.822 0.435
F: 0.229 0.565 0.178
F: 0.771 0.435 0.822

---

Density functional theory data (PBE) for Ba3BiF after structural relaxation.

E_form (uncorrected) = -134.9 kJ/mol of atoms
Energy above the lowest structure with this stoichiometry = 75 meV per atom
Symmetry = Pm-3m, No. 221
M_tot = 0.002 μB/f.u.
Total energy = -3.7025 eV/atom

Unit cell a=5.572 b=5.572 c=5.572 alpha=90.00 beta=90.00 gamma=90.00
Sites, in units of the cell vectors:
F: 0.000 0.000 0.000
Bi: 0.500 0.500 0.500
Ba: 0.000 0.500 0.000
Ba: 0.000 0.000 0.500
Ba: 0.500 0.000 0.000